Compound: Tl2Mo8C3N3
Source: the Open Quantum Materials Database
Functional: PBE
Structure: optimized geometry

final energy = -8.9055 eV per atom
SG = No. 164

Lattice parameters (Å, degrees): 3.221 3.221 23.249 90.00 90.00 120.00
Element x y z (fractional)
C: 0.000 0.000 0.000
C: 0.667 0.333 0.109
C: 0.333 0.667 0.891
Mo: 0.333 0.667 0.055
Mo: 0.000 0.000 0.148
Mo: 0.000 0.000 0.360
Mo: 0.333 0.667 0.445
Mo: 0.667 0.333 0.555
Mo: 0.000 0.000 0.640
Mo: 0.000 0.000 0.852
Mo: 0.667 0.333 0.945
N: 0.667 0.333 0.391
N: 0.000 0.000 0.500
N: 0.333 0.667 0.609
Tl: 0.333 0.667 0.252
Tl: 0.667 0.333 0.748